Record 1
Computed, not measured: a geometry-optimized RbAsO3 structure at the PBE level of DFT.

Unit cell a=3.5775 b=3.5775 c=6.0927 alpha=90.00 beta=90.00 gamma=90.00
Element x y z (fractional)
Rb  0.0000  0.0000  0.0000
As  0.5000  0.5000  0.5010
O  0.0000  0.5000  0.6061
O  0.5000  0.0000  0.6061
O  0.5000  0.5000  0.2239

As for the uncorrected formation energy: -6.33 eV per formula unit. The calculation puts the electronic total energy at -5.364 eV/atom. The value obtained for the density of states at the Fermi level is 0.163 states/eV/atom.

Record 2
Computed, not measured: a geometry-optimized La3Ga2Rh3 structure at the PBE level of DFT.

Unit cell a=7.7816 b=15.4791 c=6.0111 alpha=90.00 beta=90.00 gamma=90.00
Element x y z (fractional)
La  0.0386  0.1042  0.1561
La  0.0386  0.3958  0.1561
La  0.1786  0.2500  0.6099
La  0.3214  0.7500  0.1099
La  0.4614  0.6042  0.6561
La  0.4614  0.8958  0.6561
La  0.5386  0.1042  0.3439
La  0.5386  0.3958  0.3439
La  0.6786  0.2500  0.8901
La  0.8214  0.7500  0.3901
La  0.9614  0.6042  0.8439
La  0.9614  0.8958  0.8439
Ga  0.1164  0.5997  0.3531
Ga  0.1164  0.9003  0.3531
Ga  0.3836  0.0997  0.8531
Ga  0.3836  0.4003  0.8531
Ga  0.6164  0.5997  0.1469
Ga  0.6164  0.9003  0.1469
Ga  0.8836  0.0997  0.6469
Ga  0.8836  0.4003  0.6469
Rh  0.1685  0.7500  0.5586
Rh  0.1800  0.0375  0.5766
Rh  0.1800  0.4625  0.5766
Rh  0.3200  0.5375  0.0766
Rh  0.3200  0.9625  0.0766
Rh  0.3315  0.2500  0.0586
Rh  0.6685  0.7500  0.9414
Rh  0.6800  0.0375  0.9234
Rh  0.6800  0.4625  0.9234
Rh  0.8200  0.5375  0.4234
Rh  0.8200  0.9625  0.4234
Rh  0.8315  0.2500  0.4414

As for the formation energy: -0.7902 eV/atom. Its excess energy over the best structure of this formula in the dataset is 0.005 eV per atom. The calculation puts the electronic total energy at -6.151 eV/atom. The value obtained for the density of states at the Fermi level is 0.685 states/eV/atom.

Record 3
Computed, not measured: a geometry-optimized Ac3Pm4PrSe8 structure at the PBE level of DFT.

Unit cell a=8.6405 b=8.6405 c=8.6405 alpha=59.62 beta=59.62 gamma=59.62
Element x y z (fractional)
Ac  0.0000  0.5000  0.5000
Ac  0.5000  0.0000  0.5000
Ac  0.5000  0.5000  0.0000
Pm  0.0000  0.0000  0.5000
Pm  0.0000  0.5000  0.0000
Pm  0.5000  0.0000  0.0000
Pm  0.5000  0.5000  0.5000
Pr  0.0000  0.0000  0.0000
Se  0.2406  0.7476  0.7476
Se  0.2440  0.2440  0.2440
Se  0.2524  0.2524  0.7594
Se  0.2524  0.7593  0.2524
Se  0.7476  0.2406  0.7476
Se  0.7476  0.7476  0.2407
Se  0.7560  0.7560  0.7560
Se  0.7594  0.2524  0.2524

As for the uncorrected formation energy: -29.38 eV per formula unit. The calculation puts the electronic total energy at -5.835 eV/atom. The value obtained for the density of states at the Fermi level is 0.606 states/eV/atom.

Record 4
Computed, not measured: a geometry-optimized Li2Zn3 structure at the PBE level of DFT.

Unit cell a=5.2876 b=5.2876 c=5.2876 alpha=91.13 beta=91.13 gamma=91.13
Element x y z (fractional)
Li  0.1245  0.1245  0.1245
Li  0.3755  0.3755  0.3755
Li  0.6245  0.6245  0.6245
Li  0.8755  0.8755  0.8755
Zn  0.0779  0.7500  0.4221
Zn  0.2500  0.5779  0.9221
Zn  0.4221  0.0779  0.7500
Zn  0.5779  0.9221  0.2500
Zn  0.7500  0.4221  0.0779
Zn  0.9221  0.2500  0.5779

As for the formation energy: 0.0146 eV/atom. Its excess energy over the best structure of this formula in the dataset is 0.180 eV per atom. The calculation puts the electronic total energy at -1.515 eV/atom. The value obtained for the density of states at the Fermi level is 0.293 states/eV/atom.

Record 5
Computed, not measured: a geometry-optimized Tb3SmS4 structure at the PBE level of DFT.

Unit cell a=6.8589 b=6.8589 c=3.9139 alpha=90.00 beta=90.00 gamma=109.07
Element x y z (fractional)
Tb  0.0000  0.0000  0.0000
Tb  0.0000  0.5000  0.5000
Tb  0.5000  0.0000  0.5000
Sm  0.5000  0.5000  0.0000
S  0.2448  0.2448  0.5000
S  0.2474  0.7526  0.0000
S  0.7526  0.2474  0.0000
S  0.7552  0.7552  0.5000

As for the uncorrected formation energy: -16.08 eV per formula unit. Its excess energy over the best structure of this formula in the dataset is 0.000 eV per atom. The calculation puts the electronic total energy at -6.401 eV/atom. The value obtained for the density of states at the Fermi level is 0.604 states/eV/atom.

Record 6
Computed, not measured: a geometry-optimized BePb structure at the PBE level of DFT.

Unit cell a=3.8808 b=10.0019 c=6.9514 alpha=90.00 beta=90.00 gamma=90.00
Element x y z (fractional)
Be  0.2500  0.0522  0.0326
Be  0.2500  0.2500  0.1632
Be  0.2500  0.4478  0.0326
Be  0.7500  0.5522  0.9674
Be  0.7500  0.7500  0.8368
Be  0.7500  0.9478  0.9674
Pb  0.2500  0.5780  0.6912
Pb  0.2500  0.7500  0.1379
Pb  0.2500  0.9220  0.6912
Pb  0.7500  0.0780  0.3088
Pb  0.7500  0.2500  0.8621
Pb  0.7500  0.4220  0.3088

As for the formation energy: 0.3906 eV/atom. Its excess energy over the best structure of this formula in the dataset is 0.087 eV per atom. The calculation puts the electronic total energy at -3.327 eV/atom. The value obtained for the density of states at the Fermi level is 0.196 states/eV/atom.

Record 7
Computed, not measured: a geometry-optimized Hf2SbTe2 structure at the PBE level of DFT.

Unit cell a=7.1316 b=4.0069 c=10.2857 alpha=90.00 beta=104.97 gamma=90.00
Element x y z (fractional)
Hf  0.1265  0.2500  0.1572
Hf  0.2553  0.2500  0.4925
Hf  0.7447  0.7500  0.5075
Hf  0.8735  0.7500  0.8428
Sb  0.0009  0.7500  0.3241
Sb  0.9991  0.2500  0.6759
Te  0.2660  0.7500  0.0034
Te  0.4713  0.7500  0.6746
Te  0.5287  0.2500  0.3254
Te  0.7340  0.2500  0.9966

As for the uncorrected formation energy: -3.35 eV per formula unit. The calculation puts the electronic total energy at -6.732 eV/atom. The value obtained for the density of states at the Fermi level is 0.493 states/eV/atom.